# 1
Density functional theory data (PBE-GGA) for a geometry-optimized LiZnW2 structure.

Summary:
ΔH_f (0 K): 486.2 meV/atom
V: 15.8 Å³ per atom
Symmetry: R-3m, No. 166

a b c (Å): 9.748 9.748 9.748
angles (deg): 16.24 16.24 16.24
Sites, in units of the cell vectors:
Li (0.750, 0.750, 0.750)
W (0.997, 0.997, 0.997)
W (0.503, 0.503, 0.503)
Zn (0.250, 0.250, 0.250)

---

# 2
Density functional theory data (PBE-GGA) for a geometry-optimized LiZnW2 structure.

Summary:
ΔH_f (0 K): 434.3 meV/atom
V: 14.7 Å³ per atom
Symmetry: I-4m2, No. 119

a b c (Å): 4.737 4.737 4.737
angles (deg): 131.14 131.14 71.60
Sites, in units of the cell vectors:
Li (0.750, 0.250, 0.500)
W (0.000, 0.000, 0.000)
W (0.250, 0.750, 0.500)
Zn (0.500, 0.500, 0.000)

---

# 3
Density functional theory data (PBE-GGA) for a geometry-optimized LiZnW2 structure.

Summary:
ΔH_f (0 K): 392.1 meV/atom
V: 14.9 Å³ per atom
Symmetry: I4/mmm, No. 139

a b c (Å): 5.063 5.063 5.063
angles (deg): 137.08 137.08 62.31
Sites, in units of the cell vectors:
Li (0.750, 0.250, 0.500)
W (0.000, 0.000, 0.000)
W (0.500, 0.500, 0.000)
Zn (0.250, 0.750, 0.500)